A geometry-optimized SnGe3B structure. Source: Alexandria, functional GGA-PBE.

* electronic total energy: -4.342 eV per atom

```
data_SnGe3B
_chemical_formula_sum 'Sn1 Ge3 B1'
_cell_length_a 4.520
_cell_length_b 4.520
_cell_length_c 4.520
_cell_angle_alpha 90.00
_cell_angle_beta 90.00
_cell_angle_gamma 90.00
_symmetry_space_group_name_H-M 'P 1'
_symmetry_Int_Tables_number 1
loop_
_symmetry_equiv_pos_as_xyz
'x,y,z'
loop_
_atom_site_label
_atom_site_fract_x
_atom_site_fract_y
_atom_site_fract_z
_atom_site_occupancy
Sn1 0.000 0.000 0.000 1
Ge1 0.000 0.500 0.500 1
Ge2 0.500 0.000 0.500 1
Ge3 0.500 0.500 0.000 1
B1 0.500 0.500 0.500 1
```

***

A geometry-optimized MnTe3 structure. Source: Alexandria, functional GGA-PBE.

* electronic total energy: -4.622 eV per atom

```
data_MnTe3
_chemical_formula_sum 'Mn2 Te6'
_cell_length_a 3.272
_cell_length_b 11.872
_cell_length_c 6.056
_cell_angle_alpha 90.00
_cell_angle_beta 90.00
_cell_angle_gamma 90.00
_symmetry_space_group_name_H-M 'P 1'
_symmetry_Int_Tables_number 1
loop_
_symmetry_equiv_pos_as_xyz
'x,y,z'
loop_
_atom_site_label
_atom_site_fract_x
_atom_site_fract_y
_atom_site_fract_z
_atom_site_occupancy
Mn1 0.000 0.000 0.000 1
Mn2 0.500 0.500 0.500 1
Te1 0.000 0.349 0.330 1
Te2 0.000 0.500 0.844 1
Te3 0.000 0.651 0.330 1
Te4 0.500 0.000 0.344 1
Te5 0.500 0.151 0.830 1
Te6 0.500 0.849 0.830 1
```

***

A geometry-optimized TiVMoPt structure. Source: Alexandria, functional GGA-PBE.

* electronic total energy: -8.915 eV per atom

```
data_TiVMoPt
_chemical_formula_sum 'Ti4 V4 Mo4 Pt4'
_cell_length_a 6.214
_cell_length_b 6.214
_cell_length_c 6.214
_cell_angle_alpha 90.00
_cell_angle_beta 90.00
_cell_angle_gamma 90.00
_symmetry_space_group_name_H-M 'P 1'
_symmetry_Int_Tables_number 1
loop_
_symmetry_equiv_pos_as_xyz
'x,y,z'
loop_
_atom_site_label
_atom_site_fract_x
_atom_site_fract_y
_atom_site_fract_z
_atom_site_occupancy
Ti1 0.000 0.000 0.000 1
Ti2 0.000 0.500 0.500 1
Ti3 0.500 0.000 0.500 1
Ti4 0.500 0.500 0.000 1
V1 0.000 0.000 0.500 1
V2 0.000 0.500 0.000 1
V3 0.500 0.000 0.000 1
V4 0.500 0.500 0.500 1
Mo1 0.250 0.250 0.750 1
Mo2 0.250 0.750 0.250 1
Mo3 0.750 0.250 0.250 1
Mo4 0.750 0.750 0.750 1
Pt1 0.250 0.250 0.250 1
Pt2 0.250 0.750 0.750 1
Pt3 0.750 0.250 0.750 1
Pt4 0.750 0.750 0.250 1
```

***

A geometry-optimized ErSc2Se structure. Source: Alexandria, functional GGA-PBE.

* electronic total energy: -5.918 eV per atom

```
data_ErSc2Se
_chemical_formula_sum 'Er3 Sc6 Se3'
_cell_length_a 3.630
_cell_length_b 3.630
_cell_length_c 26.224
_cell_angle_alpha 90.00
_cell_angle_beta 90.00
_cell_angle_gamma 120.00
_symmetry_space_group_name_H-M 'P 1'
_symmetry_Int_Tables_number 1
loop_
_symmetry_equiv_pos_as_xyz
'x,y,z'
loop_
_atom_site_label
_atom_site_fract_x
_atom_site_fract_y
_atom_site_fract_z
_atom_site_occupancy
Er1 0.000 0.000 0.000 1
Er2 0.333 0.667 0.667 1
Er3 0.667 0.333 0.333 1
Sc1 0.000 0.000 0.565 1
Sc2 0.000 0.000 0.769 1
Sc3 0.333 0.667 0.231 1
Sc4 0.333 0.667 0.436 1
Sc5 0.667 0.333 0.102 1
Sc6 0.667 0.333 0.898 1
Se1 0.000 0.000 0.167 1
Se2 0.333 0.667 0.833 1
Se3 0.667 0.333 0.500 1
```